Density functional theory data (PBEsol) for a relaxed structure of CuNi2Rh.

Computed properties:
The calculation puts the formation energy at 0.05 eV/atom. The value obtained for the calculated volume is 11.47 Å³ per atom. The total energy comes out at -24.59 eV/cell.

Unit cell a=2.5482 b=4.3632 c=4.3632 alpha=108.99 beta=90.00 gamma=90.00
Each line ends with the local moment (μB).
Fractional positions:
Ni 0.0000 0.5000 0.0000  0.34
Ni 0.0000 0.0000 0.5000  0.34
Rh 0.5000 0.0000 0.0000  0.22
Cu 0.5000 0.5000 0.5000  0.05


Density functional theory data (PBEsol) for a relaxed structure of La2Cu.

Computed properties:
The calculation puts the formation energy at -0.01 eV/atom. The value obtained for the calculated volume is 26.81 Å³ per atom. The total energy comes out at -120.34 eV/cell.

Unit cell a=9.6909 b=9.6909 c=9.6909 alpha=60.00 beta=60.00 gamma=60.00
Fractional positions:
Cu 0.9025 0.9025 0.2925
Cu 0.9025 0.2925 0.9025
Cu 0.9025 0.9025 0.9025
Cu 0.2925 0.9025 0.9025
Cu 0.3475 0.3475 0.9575
Cu 0.3475 0.9575 0.3475
Cu 0.3475 0.3475 0.3475
Cu 0.9575 0.3475 0.3475
La 0.6250 0.1250 0.1250
La 0.1250 0.1250 0.1250
La 0.1250 0.6250 0.1250
La 0.1250 0.1250 0.6250
La 0.6918 0.3082 0.3082
La 0.6918 0.6918 0.3082
La 0.3082 0.6918 0.3082
La 0.6918 0.3082 0.6918
La 0.3082 0.3082 0.6918
La 0.3082 0.6918 0.6918
La 0.5582 0.9418 0.9418
La 0.5582 0.5582 0.9418
La 0.9418 0.5582 0.9418
La 0.5582 0.9418 0.5582
La 0.9418 0.9418 0.5582
La 0.9418 0.5582 0.5582


Density functional theory data (PBEsol) for a relaxed structure of Ca2SnWO6.

Computed properties:
Its uncorrected formation energy is -2395 meV/atom. The value obtained for the calculated volume is 14.47 Å³ per atom. The total energy comes out at -77.78 eV/cell.

Unit cell a=5.6200 b=5.6202 c=6.2053 alpha=116.92 beta=90.00 gamma=120.00
Fractional positions:
Ca 0.7985 0.5885 0.3634
Ca 0.3102 0.6120 0.8985
Sn 0.5303 0.0523 0.5590
W 0.0016 0.9949 0.9729
O 0.6457 0.5426 0.7156
O 0.3454 0.3940 0.1379
O 0.0570 0.8161 0.1378
O 0.7675 0.1045 0.1379
O 0.1968 0.8341 0.7157
O 0.9052 0.0936 0.7156